# CdTeAs, relaxed, DFT GGA-PBE
data_CdTeAs
_space_group_name_H-M_alt 'P 1'
_space_group_IT_number 1
_space_group_name_Hall 'P 1'
_cell_length_a 6.6046
_cell_length_b 6.6046
_cell_length_c 6.6046
_cell_angle_alpha 145.32
_cell_angle_beta 145.32
_cell_angle_gamma 49.85
loop_
_atom_site_label
_atom_site_fract_x
_atom_site_fract_y
_atom_site_fract_z
Cd1 0.0000 0.0000 0.0000
Te1 0.7244 0.7244 0.0000
As1 0.5120 0.5120 0.0000
# E_tot in eV/atom: -2.8013
# Excess energy over the best structure of this formula in the dataset in meV per atom: 49
# ρ in g/cm³: 5.63

***

# Cd2TeAs, relaxed, DFT GGA-PBE
data_Cd2TeAs
_space_group_name_H-M_alt 'P 1'
_space_group_IT_number 1
_space_group_name_Hall 'P 1'
_cell_length_a 6.8879
_cell_length_b 6.8879
_cell_length_c 6.8879
_cell_angle_alpha 148.89
_cell_angle_beta 141.73
_cell_angle_gamma 50.11
loop_
_atom_site_label
_atom_site_fract_x
_atom_site_fract_y
_atom_site_fract_z
Cd1 0.2012 0.2012 0.0000
Cd2 0.7988 0.7988 0.0000
Te1 0.5000 0.0000 0.5000
As1 0.0000 0.5000 0.5000
# E_tot in eV/atom: -2.2347
# Excess energy over the best structure of this formula in the dataset in meV per atom: 295
# ρ in g/cm³: 6.82

***

# CdTeAs, relaxed, DFT GGA-PBE
data_CdTeAs
_space_group_name_H-M_alt 'P 1'
_space_group_IT_number 1
_space_group_name_Hall 'P 1'
_cell_length_a 4.0577
_cell_length_b 4.0577
_cell_length_c 5.4246
_cell_angle_alpha 90.00
_cell_angle_beta 90.00
_cell_angle_gamma 120.00
loop_
_atom_site_label
_atom_site_fract_x
_atom_site_fract_y
_atom_site_fract_z
Cd1 0.0000 0.0000 0.0000
Te1 0.3333 0.6667 0.3641
As1 0.6667 0.3333 0.6988
# E_tot in eV/atom: -2.8133
# Excess energy over the best structure of this formula in the dataset in meV per atom: 37
# ρ in g/cm³: 6.76

***

# Cd12Te3As5, relaxed, DFT GGA-PBE
data_Cd12Te3As5
_space_group_name_H-M_alt 'P 1'
_space_group_IT_number 1
_space_group_name_Hall 'P 1'
_cell_length_a 14.4900
_cell_length_b 14.4900
_cell_length_c 14.4900
_cell_angle_alpha 109.47
_cell_angle_beta 109.47
_cell_angle_gamma 109.47
loop_
_atom_site_label
_atom_site_fract_x
_atom_site_fract_y
_atom_site_fract_z
Cd1 0.0417 0.2154 0.1254
Cd2 0.0417 0.3262 0.9162
Cd3 0.0838 0.6254 0.4100
Cd4 0.0838 0.9583 0.6738
Cd5 0.0900 0.7154 0.6738
Cd6 0.0900 0.8746 0.4162
Cd7 0.1254 0.0417 0.2154
Cd8 0.1254 0.5838 0.9100
Cd9 0.1738 0.2154 0.5900
Cd10 0.1738 0.4583 0.5838
Cd11 0.2154 0.1254 0.0417
Cd12 0.2154 0.5900 0.1738
Cd13 0.2846 0.3262 0.9100
Cd14 0.2846 0.4583 0.3746
Cd15 0.3262 0.9100 0.2846
Cd16 0.3262 0.9162 0.0417
Cd17 0.3746 0.2846 0.4583
Cd18 0.3746 0.5900 0.9162
Cd19 0.4100 0.0838 0.6254
Cd20 0.4100 0.8262 0.7846
Cd21 0.4162 0.0900 0.8746
Cd22 0.4162 0.8262 0.5417
Cd23 0.4583 0.3746 0.2846
Cd24 0.4583 0.5838 0.1738
Cd25 0.5417 0.4162 0.8262
Cd26 0.5417 0.6254 0.7154
Cd27 0.5838 0.1738 0.4583
Cd28 0.5838 0.9100 0.1254
Cd29 0.5900 0.1738 0.2154
Cd30 0.5900 0.9162 0.3746
Cd31 0.6254 0.4100 0.0838
Cd32 0.6254 0.7154 0.5417
Cd33 0.6738 0.0838 0.9583
Cd34 0.6738 0.0900 0.7154
Cd35 0.7154 0.5417 0.6254
Cd36 0.7154 0.6738 0.0900
Cd37 0.7846 0.4100 0.8262
Cd38 0.7846 0.8746 0.9583
Cd39 0.8262 0.5417 0.4162
Cd40 0.8262 0.7846 0.4100
Cd41 0.8746 0.4162 0.0900
Cd42 0.8746 0.9583 0.7846
Cd43 0.9100 0.1254 0.5838
Cd44 0.9100 0.2846 0.3262
Cd45 0.9162 0.0417 0.3262
Cd46 0.9162 0.3746 0.5900
Cd47 0.9583 0.6738 0.0838
Cd48 0.9583 0.7846 0.8746
Te1 0.1250 0.2500 0.3750
Te2 0.1250 0.3750 0.7500
Te3 0.2500 0.3750 0.1250
Te4 0.2500 0.8750 0.6250
Te5 0.3750 0.1250 0.2500
Te6 0.3750 0.7500 0.1250
Te7 0.6250 0.2500 0.8750
Te8 0.6250 0.8750 0.7500
Te9 0.7500 0.1250 0.3750
Te10 0.7500 0.6250 0.8750
Te11 0.8750 0.6250 0.2500
Te12 0.8750 0.7500 0.6250
As1 0.0000 0.0000 0.0000
As2 0.0000 0.0000 0.5000
As3 0.0000 0.5000 0.0000
As4 0.0000 0.5000 0.5000
As5 0.1250 0.7500 0.8750
As6 0.1250 0.8750 0.2500
As7 0.2500 0.1250 0.8750
As8 0.2500 0.6250 0.3750
As9 0.3750 0.2500 0.6250
As10 0.3750 0.6250 0.7500
As11 0.5000 0.0000 0.0000
As12 0.5000 0.0000 0.5000
As13 0.5000 0.5000 0.0000
As14 0.5000 0.5000 0.5000
As15 0.6250 0.3750 0.2500
As16 0.6250 0.7500 0.3750
As17 0.7500 0.3750 0.6250
As18 0.7500 0.8750 0.1250
As19 0.8750 0.1250 0.7500
As20 0.8750 0.2500 0.1250
# E_tot in eV/atom: -2.2274
# ρ in g/cm³: 5.97

***

# Cd2TeAs, relaxed, DFT GGA-PBE
data_Cd2TeAs
_space_group_name_H-M_alt 'P 1'
_space_group_IT_number 1
_space_group_name_Hall 'P 1'
_cell_length_a 10.7182
_cell_length_b 10.7182
_cell_length_c 10.7182
_cell_angle_alpha 17.83
_cell_angle_beta 17.83
_cell_angle_gamma 17.83
loop_
_atom_site_label
_atom_site_fract_x
_atom_site_fract_y
_atom_site_fract_z
Cd1 0.0000 0.0000 0.0000
Cd2 0.2587 0.2587 0.2587
Te1 0.7482 0.7482 0.7482
As1 0.5263 0.5263 0.5263
# E_tot in eV/atom: -2.1779
# Excess energy over the best structure of this formula in the dataset in meV per atom: 351
# ρ in g/cm³: 7.04

***

# CdTeAs4, relaxed, DFT GGA-PBE
data_CdTeAs4
_space_group_name_H-M_alt 'P 1'
_space_group_IT_number 1
_space_group_name_Hall 'P 1'
_cell_length_a 6.0309
_cell_length_b 6.0309
_cell_length_c 6.0309
_cell_angle_alpha 60.00
_cell_angle_beta 60.00
_cell_angle_gamma 60.00
loop_
_atom_site_label
_atom_site_fract_x
_atom_site_fract_y
_atom_site_fract_z
Cd1 0.0000 0.0000 0.0000
Te1 0.7500 0.7500 0.7500
As1 0.3948 0.3948 0.3948
As2 0.3948 0.3948 0.8156
As3 0.3948 0.8156 0.3948
As4 0.8156 0.3948 0.3948
# E_tot in eV/atom: -3.3716
# ρ in g/cm³: 5.78

***

# Cd2TeAs, relaxed, DFT GGA-PBE
data_Cd2TeAs
_space_group_name_H-M_alt 'P 1'
_space_group_IT_number 1
_space_group_name_Hall 'P 1'
_cell_length_a 3.6321
_cell_length_b 4.6617
_cell_length_c 7.2651
_cell_angle_alpha 90.00
_cell_angle_beta 90.00
_cell_angle_gamma 90.00
loop_
_atom_site_label
_atom_site_fract_x
_atom_site_fract_y
_atom_site_fract_z
Cd1 0.0000 0.0000 0.0000
Cd2 0.5000 0.5000 0.4449
Te1 0.0000 0.5000 0.7701
As1 0.5000 0.0000 0.2744
# E_tot in eV/atom: -2.5294
# Excess energy over the best structure of this formula in the dataset in meV per atom: 0
# ρ in g/cm³: 5.77

***

# CdTe4As, relaxed, DFT GGA-PBE
data_CdTe4As
_space_group_name_H-M_alt 'P 1'
_space_group_IT_number 1
_space_group_name_Hall 'P 1'
_cell_length_a 6.2962
_cell_length_b 6.2962
_cell_length_c 6.2962
_cell_angle_alpha 60.00
_cell_angle_beta 60.00
_cell_angle_gamma 60.00
loop_
_atom_site_label
_atom_site_fract_x
_atom_site_fract_y
_atom_site_fract_z
Cd1 0.0000 0.0000 0.0000
Te1 0.1260 0.6247 0.6247
Te2 0.6247 0.1260 0.6247
Te3 0.6247 0.6247 0.1260
Te4 0.6247 0.6247 0.6247
As1 0.2500 0.2500 0.2500
# E_tot in eV/atom: -2.4304
# ρ in g/cm³: 6.56

***

# Cd2TeAs, relaxed, DFT GGA-PBE
data_Cd2TeAs
_space_group_name_H-M_alt 'P 1'
_space_group_IT_number 1
_space_group_name_Hall 'P 1'
_cell_length_a 3.5370
_cell_length_b 4.2352
_cell_length_c 7.5436
_cell_angle_alpha 90.00
_cell_angle_beta 90.00
_cell_angle_gamma 90.00
loop_
_atom_site_label
_atom_site_fract_x
_atom_site_fract_y
_atom_site_fract_z
Cd1 0.0000 0.0000 0.0000
Cd2 0.5000 0.5000 0.4378
Te1 0.0000 0.0000 0.6086
As1 0.5000 0.5000 0.0893
# E_tot in eV/atom: -2.4854
# Excess energy over the best structure of this formula in the dataset in meV per atom: 44
# ρ in g/cm³: 6.28

***

# Cd3TeAs, relaxed, DFT GGA-PBE
data_Cd3TeAs
_space_group_name_H-M_alt 'P 1'
_space_group_IT_number 1
_space_group_name_Hall 'P 1'
_cell_length_a 5.5801
_cell_length_b 5.5801
_cell_length_c 5.5801
_cell_angle_alpha 90.00
_cell_angle_beta 90.00
_cell_angle_gamma 90.00
loop_
_atom_site_label
_atom_site_fract_x
_atom_site_fract_y
_atom_site_fract_z
Cd1 0.0000 0.0000 0.5000
Cd2 0.0000 0.5000 0.0000
Cd3 0.5000 0.0000 0.0000
Te1 0.0000 0.0000 0.0000
As1 0.5000 0.5000 0.5000
# E_tot in eV/atom: -1.4767
# Excess energy over the best structure of this formula in the dataset in meV per atom: 559
# ρ in g/cm³: 5.16

***

# Cd2TeAs, relaxed, DFT GGA-PBE
data_Cd2TeAs
_space_group_name_H-M_alt 'P 1'
_space_group_IT_number 1
_space_group_name_Hall 'P 1'
_cell_length_a 3.0904
_cell_length_b 3.9848
_cell_length_c 7.9875
_cell_angle_alpha 90.00
_cell_angle_beta 90.00
_cell_angle_gamma 90.00
loop_
_atom_site_label
_atom_site_fract_x
_atom_site_fract_y
_atom_site_fract_z
Cd1 0.0000 0.0000 0.2150
Cd2 0.0000 0.0000 0.7850
Te1 0.5000 0.5000 0.5000
As1 0.5000 0.5000 0.0000
# E_tot in eV/atom: -2.2735
# Excess energy over the best structure of this formula in the dataset in meV per atom: 256
# ρ in g/cm³: 7.21

***

# Cd2TeAs, relaxed, DFT GGA-PBE
data_Cd2TeAs
_space_group_name_H-M_alt 'P 1'
_space_group_IT_number 1
_space_group_name_Hall 'P 1'
_cell_length_a 3.1615
_cell_length_b 3.9667
_cell_length_c 7.9595
_cell_angle_alpha 90.00
_cell_angle_beta 90.00
_cell_angle_gamma 90.00
loop_
_atom_site_label
_atom_site_fract_x
_atom_site_fract_y
_atom_site_fract_z
Cd1 0.0000 0.0000 0.2091
Cd2 0.0000 0.0000 0.7909
Te1 0.0000 0.5000 0.5000
As1 0.5000 0.5000 0.0000
# E_tot in eV/atom: -2.4006
# Excess energy over the best structure of this formula in the dataset in meV per atom: 129
# ρ in g/cm³: 7.11

***

# Th2CdAs, relaxed, DFT GGA-PBE
data_Th2CdAs
_space_group_name_H-M_alt 'P 1'
_space_group_IT_number 1
_space_group_name_Hall 'P 1'
_cell_length_a 3.5791
_cell_length_b 3.5791
_cell_length_c 8.2685
_cell_angle_alpha 90.00
_cell_angle_beta 90.00
_cell_angle_gamma 90.00
loop_
_atom_site_label
_atom_site_fract_x
_atom_site_fract_y
_atom_site_fract_z
Th1 0.0000 0.0000 0.2214
Th2 0.0000 0.0000 0.7786
Cd1 0.5000 0.5000 0.5000
As1 0.5000 0.5000 0.0000
# E_tot in eV/atom: -5.6473
# Excess energy over the best structure of this formula in the dataset in meV per atom: 36
# Energy of formation from the pure elements in kJ/mol of formula units: -211
# ρ in g/cm³: 10.21

***

# Th2CdAs, relaxed, DFT GGA-PBE
data_Th2CdAs
_space_group_name_H-M_alt 'P 1'
_space_group_IT_number 1
_space_group_name_Hall 'P 1'
_cell_length_a 8.4685
_cell_length_b 8.4685
_cell_length_c 8.4685
_cell_angle_alpha 28.04
_cell_angle_beta 28.04
_cell_angle_gamma 28.04
loop_
_atom_site_label
_atom_site_fract_x
_atom_site_fract_y
_atom_site_fract_z
Th1 0.2393 0.2393 0.2393
Th2 0.7607 0.7607 0.7607
Cd1 0.0000 0.0000 0.0000
As1 0.5000 0.5000 0.5000
# E_tot in eV/atom: -5.6833
# Excess energy over the best structure of this formula in the dataset in meV per atom: 0
# Energy of formation from the pure elements in kJ/mol of formula units: -225
# ρ in g/cm³: 9.12

***

# ThCdAs, relaxed, DFT GGA-PBE
data_ThCdAs
_space_group_name_H-M_alt 'P 1'
_space_group_IT_number 1
_space_group_name_Hall 'P 1'
_cell_length_a 8.4331
_cell_length_b 8.4331
_cell_length_c 8.4331
_cell_angle_alpha 34.05
_cell_angle_beta 34.05
_cell_angle_gamma 34.05
loop_
_atom_site_label
_atom_site_fract_x
_atom_site_fract_y
_atom_site_fract_z
Th1 0.0904 0.0904 0.0904
Th2 0.9096 0.9096 0.9096
Cd1 0.3333 0.3333 0.3333
Cd2 0.6667 0.6667 0.6667
As1 0.2143 0.2143 0.2143
As2 0.7857 0.7857 0.7857
# E_tot in eV/atom: -4.9764
# Energy of formation from the pure elements in kJ/mol of formula units: -188
# ρ in g/cm³: 8.31

***

# Ti2CdAs2, relaxed, DFT GGA-PBE
data_Ti2CdAs2
_space_group_name_H-M_alt 'P 1'
_space_group_IT_number 1
_space_group_name_Hall 'P 1'
_cell_length_a 7.3206
_cell_length_b 7.3206
_cell_length_c 3.3188
_cell_angle_alpha 90.00
_cell_angle_beta 90.00
_cell_angle_gamma 90.00
loop_
_atom_site_label
_atom_site_fract_x
_atom_site_fract_y
_atom_site_fract_z
Ti1 0.1370 0.3630 0.0000
Ti2 0.3630 0.8630 0.0000
Ti3 0.6370 0.1370 0.0000
Ti4 0.8630 0.6370 0.0000
Cd1 0.0000 0.0000 0.5000
Cd2 0.5000 0.5000 0.5000
As1 0.1479 0.6479 0.5000
As2 0.3521 0.1479 0.5000
As3 0.6479 0.8521 0.5000
As4 0.8521 0.3521 0.5000
# E_tot in eV/atom: -5.6937
# Energy of formation from the pure elements in kJ/mol of formula units: -238
# ρ in g/cm³: 6.68

***

# Ti2Cd2As, relaxed, DFT GGA-PBE
data_Ti2Cd2As
_space_group_name_H-M_alt 'P 1'
_space_group_IT_number 1
_space_group_name_Hall 'P 1'
_cell_length_a 6.5497
_cell_length_b 6.5497
_cell_length_c 4.6555
_cell_angle_alpha 90.00
_cell_angle_beta 90.00
_cell_angle_gamma 90.00
loop_
_atom_site_label
_atom_site_fract_x
_atom_site_fract_y
_atom_site_fract_z
Ti1 0.1526 0.3474 0.0000
Ti2 0.3474 0.8474 0.0000
Ti3 0.6526 0.1526 0.0000
Ti4 0.8474 0.6526 0.0000
Cd1 0.1545 0.6545 0.5000
Cd2 0.3455 0.1545 0.5000
Cd3 0.6545 0.8455 0.5000
Cd4 0.8455 0.3455 0.5000
As1 0.0000 0.0000 0.0000
As2 0.5000 0.5000 0.0000
# E_tot in eV/atom: -4.6721
# Energy of formation from the pure elements in kJ/mol of formula units: -105
# ρ in g/cm³: 6.58

***

# TiCd3As, relaxed, DFT GGA-PBE
data_TiCd3As
_space_group_name_H-M_alt 'P 1'
_space_group_IT_number 1
_space_group_name_Hall 'P 1'
_cell_length_a 5.3311
_cell_length_b 5.3311
_cell_length_c 5.3311
_cell_angle_alpha 90.00
_cell_angle_beta 90.00
_cell_angle_gamma 90.00
loop_
_atom_site_label
_atom_site_fract_x
_atom_site_fract_y
_atom_site_fract_z
Ti1 0.0000 0.0000 0.0000
Cd1 0.0000 0.0000 0.5000
Cd2 0.0000 0.5000 0.0000
Cd3 0.5000 0.0000 0.0000
As1 0.5000 0.5000 0.5000
# E_tot in eV/atom: -2.0813
# Excess energy over the best structure of this formula in the dataset in meV per atom: 118
# Energy of formation from the pure elements in kJ/mol of formula units: 471
# ρ in g/cm³: 5.04

***

# TiCd3As, relaxed, DFT GGA-PBE
data_TiCd3As
_space_group_name_H-M_alt 'P 1'
_space_group_IT_number 1
_space_group_name_Hall 'P 1'
_cell_length_a 5.1497
_cell_length_b 5.1497
_cell_length_c 5.1497
_cell_angle_alpha 90.00
_cell_angle_beta 90.00
_cell_angle_gamma 90.00
loop_
_atom_site_label
_atom_site_fract_x
_atom_site_fract_y
_atom_site_fract_z
Ti1 0.0000 0.0000 0.0000
Cd1 0.0000 0.5000 0.5000
Cd2 0.5000 0.0000 0.5000
Cd3 0.5000 0.5000 0.0000
As1 0.5000 0.5000 0.5000
# E_tot in eV/atom: -2.1992
# Excess energy over the best structure of this formula in the dataset in meV per atom: 0
# Energy of formation from the pure elements in kJ/mol of formula units: 414
# ρ in g/cm³: 5.59

***

# Ti2CdAs2, relaxed, DFT GGA-PBE
data_Ti2CdAs2
_space_group_name_H-M_alt 'P 1'
_space_group_IT_number 1
_space_group_name_Hall 'P 1'
_cell_length_a 7.3121
_cell_length_b 7.3121
_cell_length_c 3.3642
_cell_angle_alpha 90.00
_cell_angle_beta 90.00
_cell_angle_gamma 90.00
loop_
_atom_site_label
_atom_site_fract_x
_atom_site_fract_y
_atom_site_fract_z
Ti1 0.1351 0.3649 0.0000
Ti2 0.3649 0.8649 0.0000
Ti3 0.6351 0.1351 0.0000
Ti4 0.8649 0.6351 0.0000
Cd1 0.0000 0.0000 0.0000
Cd2 0.5000 0.5000 0.0000
As1 0.1535 0.6535 0.5000
As2 0.3465 0.1535 0.5000
As3 0.6535 0.8465 0.5000
As4 0.8465 0.3465 0.5000
# E_tot in eV/atom: -5.6787
# Energy of formation from the pure elements in kJ/mol of formula units: -231
# ρ in g/cm³: 6.61